1.
Computed, not measured: a relaxed Cs2Rb6Au3F crystal at the PBE level of DFT.

Lattice parameters (Å, degrees): 9.868 9.868 8.103 91.23 91.23 57.13
Fractional positions:
Cs: 0.182 0.182 0.300
Cs: 0.818 0.818 0.700
Rb: 0.192 0.668 0.220
Rb: 0.332 0.808 0.780
Rb: 0.361 0.361 0.800
Rb: 0.639 0.639 0.200
Rb: 0.668 0.192 0.220
Rb: 0.808 0.332 0.780
Au: 0.000 0.000 0.500
Au: 0.000 0.500 0.000
Au: 0.500 0.000 0.000
F: 0.500 0.500 0.000

Computed properties:
Symmetry   No. 12


2.
Computed, not measured: a relaxed Cs2Rb4Au3F2 crystal at the PBE level of DFT.

Lattice parameters (Å, degrees): 14.946 14.946 14.946 158.80 158.80 30.16
Fractional positions:
Cs: 0.198 0.198 0.000
Cs: 0.802 0.802 0.000
Rb: 0.082 0.582 0.500
Rb: 0.418 0.918 0.500
Rb: 0.582 0.082 0.500
Rb: 0.918 0.418 0.500
Au: 0.331 0.331 0.000
Au: 0.500 0.500 0.000
Au: 0.669 0.669 0.000
F: 0.097 0.097 0.000
F: 0.903 0.903 0.000

Computed properties:
Symmetry   No. 139


3.
Computed, not measured: a relaxed CsRhAu2F8 crystal at the PBE level of DFT.

Lattice parameters (Å, degrees): 9.969 9.969 9.969 32.59 32.59 32.59
Fractional positions:
Cs: 0.000 0.000 0.000
Rh: 0.500 0.500 0.500
Au: 0.265 0.265 0.265
Au: 0.735 0.735 0.735
F: 0.134 0.623 0.623
F: 0.337 0.337 0.337
F: 0.377 0.377 0.866
F: 0.377 0.866 0.377
F: 0.623 0.134 0.623
F: 0.623 0.623 0.134
F: 0.663 0.663 0.663
F: 0.866 0.377 0.377

Computed properties:
Symmetry   No. 166


Number 1: DOS(E_F) 0.601 states/eV/atom, E_form (uncorrected) -0.55 eV/atom, total magnetization 0.3 μB/cell. Number 2: DOS(E_F) 0.348 states/eV/atom, E_form (uncorrected) -1.13 eV/atom, total magnetization 0.0 μB/cell. Number 3: DOS(E_F) 0.967 states/eV/atom, E_form (uncorrected) -1.27 eV/atom, total magnetization 2.2 μB/cell.